# 1
A plane-wave DFT calculation with GGA-PBE was carried out for a relaxed UIr2 crystal.

Total magnetization in μB per atom: 0.45
V in A^3/atom: 17.8
DFT formation energy in eV per atom: -0.5607

Cell lengths 5.3213, 5.3213, 5.3213 Å; angles 60.00, 60.00, 60.00 degrees
Last column: nearest neighbours and their distance in Å.
Fractional coordinates of all 6 atoms:
U 0.1250 0.1250 0.1250  12 Ir 3.12, 4 U 3.26
U 0.8750 0.8750 0.8750  12 Ir 3.12, 4 U 3.26
Ir 0.0000 0.5000 0.5000  6 Ir 2.66
Ir 0.5000 0.0000 0.5000  6 Ir 2.66
Ir 0.5000 0.5000 0.0000  6 Ir 2.66
Ir 0.5000 0.5000 0.5000  6 Ir 2.66

=====

# 2
A plane-wave DFT calculation with GGA-PBE was carried out for a relaxed BaCa2N2 crystal.

Total magnetization in μB per atom: 0.00
Formation energy from raw total energies in eV/atom: -0.30
V in A^3/atom: 21.3

Cell lengths 6.5461, 6.5461, 6.5461 Å; angles 106.00, 106.00, 116.65 degrees
Last column: nearest neighbours and their distance in Å.
Fractional coordinates of all 10 atoms:
Ba 0.2500 0.2500 0.0000  8 N 3.40, 2 Ba 3.44, 8 Ca 3.54
Ba 0.7500 0.7500 0.0000  8 N 3.40, 2 Ba 3.44, 8 Ca 3.54
Ca 0.1283 0.6283 0.7566  3 N 2.28-2.34
Ca 0.3717 0.1283 0.5000  3 N 2.28-2.34
Ca 0.6283 0.8717 0.5000  3 N 2.28-2.34
Ca 0.8717 0.3717 0.2434  3 N 2.28-2.34
N 0.1668 0.3332 0.5000  3 Ca 2.28-2.34
N 0.3332 0.8332 0.1665  3 Ca 2.28-2.34
N 0.6668 0.1668 0.8335  3 Ca 2.28-2.34
N 0.8332 0.6668 0.5000  3 Ca 2.28-2.34

=====

# 3
A plane-wave DFT calculation with GGA-PBE was carried out for a relaxed Be3C crystal.

Total magnetization in μB per atom: 0.00
V in A^3/atom: 6.9
DFT formation energy in eV per atom: 0.5920

Cell lengths 4.1230, 4.1230, 3.7358 Å; angles 90.00, 90.00, 120.00 degrees
Last column: nearest neighbours and their distance in Å.
Fractional coordinates of all 8 atoms:
Be 0.1661 0.3323 0.2500  8 Be 2.05-2.21, 4 C 2.06-2.22
Be 0.1661 0.8339 0.2500  8 Be 2.05-2.21, 4 C 2.06-2.22
Be 0.3323 0.1661 0.7500  8 Be 2.05-2.21, 4 C 2.06-2.22
Be 0.6677 0.8339 0.2500  8 Be 2.05-2.21, 4 C 2.06-2.22
Be 0.8339 0.1661 0.7500  8 Be 2.05-2.21, 4 C 2.06-2.22
Be 0.8339 0.6677 0.7500  8 Be 2.05-2.21, 4 C 2.06-2.22
C 0.3333 0.6667 0.7500  12 Be 2.06-2.22
C 0.6667 0.3333 0.2500  12 Be 2.06-2.22

=====

| no. | VASP energy (eV per atom) | N(E_F) (states/eV/cell) |
| --- | --- | --- |
| 1 | -10.2308 | 9.01 |
| 2 | -4.8178 | 0.94 |
| 3 | -4.5086 | 1.18 |